Record 1
The following is a PBE-GGA calculation of a geometry-optimized CrSnRu2C structure, from Alexandria via LeMat-Bulk.

Cell: 4.128 4.128 3.967 Å, 90.00 90.00 90.00°
Fractional positions:
Cr  0.000  0.000  0.000
Sn  0.500  0.500  0.000
Ru  0.000  0.500  0.500
Ru  0.500  0.000  0.500
C  0.000  0.000  0.500

## Properties
For the formation energy, the calculation gives 0.028 eV/atom. The calculation puts the uncorrected energy at -41.26 eV/cell. The space group is P4/mmm, No. 123.

---

Record 2
The following is a PBE-GGA calculation of a geometry-optimized TaCrRu2C structure, from Alexandria via LeMat-Bulk.

Cell: 4.017 4.017 3.983 Å, 90.00 90.00 90.00°
Fractional positions:
Ta  0.000  0.000  0.000
Cr  0.500  0.500  0.000
Ru  0.000  0.500  0.500
Ru  0.500  0.000  0.500
C  0.500  0.500  0.500

## Properties
For the formation energy, the calculation gives -0.099 eV/atom. The calculation puts the uncorrected energy at -49.75 eV/cell. The space group is P4/mmm, No. 123.

---

Record 3
The following is a PBE-GGA calculation of a geometry-optimized TaCrRu2C structure, from Alexandria via LeMat-Bulk.

Cell: 4.684 4.684 4.590 Å, 90.00 90.00 90.00°
Fractional positions:
Ta  0.000  0.000  0.000
Cr  0.000  0.000  0.500
Ru  0.000  0.500  0.000
Ru  0.500  0.000  0.000
C  0.500  0.500  0.500

## Properties
For the formation energy, the calculation gives 2.996 eV/atom. The calculation puts the uncorrected energy at -34.27 eV/cell. The space group is P4/mmm, No. 123.

---

Record 4
The following is a PBE-GGA calculation of a geometry-optimized CrTcRuC2 structure, from Alexandria via LeMat-Bulk.

Cell: 3.895 3.895 4.704 Å, 90.00 90.00 90.00°
Fractional positions:
Cr  0.000  0.000  0.000
Tc  0.000  0.000  0.500
Ru  0.500  0.500  0.000
C  0.000  0.500  0.500
C  0.500  0.000  0.500

## Properties
For the formation energy, the calculation gives 2.106 eV/atom. The calculation puts the uncorrected energy at -37.18 eV/cell. The space group is P4/mmm, No. 123.

---

Record 5
The following is a PBE-GGA calculation of a geometry-optimized CrC3S structure, from Alexandria via LeMat-Bulk.

Cell: 3.881 3.881 3.881 Å, 90.00 90.00 90.00°
Fractional positions:
Cr  0.000  0.000  0.000
C  0.000  0.000  0.500
C  0.000  0.500  0.000
C  0.500  0.000  0.000
S  0.500  0.500  0.500

## Properties
The calculation puts the formation energy from raw total energies at 2.25 eV/atom. The calculation puts the uncorrected energy at -30.19 eV/cell. The space group is Pm-3m, No. 221.

---

Record 6
The following is a PBE-GGA calculation of a geometry-optimized CrCS2 structure, from Alexandria via LeMat-Bulk.

Cell: 6.303 6.303 6.303 Å, 29.23 29.23 29.23°
Fractional positions:
Cr  0.000  0.000  0.000
C  0.500  0.500  0.500
S  0.412  0.412  0.412
S  0.588  0.588  0.588

## Properties
The calculation puts the formation energy from raw total energies at 0.54 eV/atom. The calculation puts the uncorrected energy at -24.92 eV/cell. The space group is R-3m, No. 166.

---

Record 7
The following is a PBE-GGA calculation of a geometry-optimized CrC3S structure, from Alexandria via LeMat-Bulk.

Cell: 3.553 3.553 3.553 Å, 90.00 90.00 90.00°
Fractional positions:
Cr  0.000  0.000  0.000
C  0.000  0.500  0.500
C  0.500  0.000  0.500
C  0.500  0.500  0.000
S  0.500  0.500  0.500

## Properties
The calculation puts the formation energy from raw total energies at 2.55 eV/atom. The calculation puts the uncorrected energy at -28.69 eV/cell. The space group is Pm-3m, No. 221.

---

Record 8
The following is a PBE-GGA calculation of a geometry-optimized CrCS2 structure, from Alexandria via LeMat-Bulk.

Cell: 5.651 5.651 5.651 Å, 129.32 129.32 74.50°
Fractional positions:
Cr  0.000  0.000  0.000
Cr  0.750  0.250  0.500
C  0.250  0.750  0.500
C  0.500  0.500  0.000
S  0.165  0.625  0.040
S  0.375  0.415  0.540
S  0.585  0.125  0.960
S  0.875  0.835  0.460

## Properties
The calculation puts the formation energy from raw total energies at 0.76 eV/atom. The calculation puts the uncorrected energy at -48.14 eV/cell. The space group is I-42d, No. 122.

---

Record 9
The following is a PBE-GGA calculation of a geometry-optimized CrSb2CS structure, from Alexandria via LeMat-Bulk.

Cell: 5.266 5.266 4.393 Å, 90.00 90.00 90.00°
Fractional positions:
Cr  0.000  0.000  0.000
Sb  0.000  0.500  0.500
Sb  0.500  0.000  0.500
C  0.500  0.500  0.000
S  0.000  0.000  0.500

## Properties
The calculation puts the formation energy from raw total energies at 1.69 eV/atom. The calculation puts the uncorrected energy at -22.78 eV/cell. The space group is P4/mmm, No. 123.

---

Record 10
The following is a PBE-GGA calculation of a geometry-optimized CrSb2CS structure, from Alexandria via LeMat-Bulk.

Cell: 4.841 4.841 3.770 Å, 90.00 90.00 90.00°
Fractional positions:
Cr  0.000  0.000  0.000
Sb  0.000  0.500  0.500
Sb  0.500  0.000  0.500
C  0.500  0.500  0.500
S  0.500  0.500  0.000

## Properties
The calculation puts the formation energy from raw total energies at 1.36 eV/atom. The calculation puts the uncorrected energy at -24.44 eV/cell. The space group is P4/mmm, No. 123.

---

Record 11
The following is a PBE-GGA calculation of a geometry-optimized CrSbC2S structure, from Alexandria via LeMat-Bulk.

Cell: 3.816 3.816 4.529 Å, 90.00 90.00 90.00°
Fractional positions:
Cr  0.000  0.000  0.000
Sb  0.500  0.500  0.000
C  0.000  0.500  0.500
C  0.500  0.000  0.500
S  0.000  0.000  0.500

## Properties
The calculation puts the formation energy from raw total energies at 2.07 eV/atom. The calculation puts the uncorrected energy at -25.98 eV/cell. The space group is P4/mmm, No. 123.

---

Record 12
The following is a PBE-GGA calculation of a geometry-optimized Ta6CrC3S6 structure, from Alexandria via LeMat-Bulk.

Cell: 5.745 5.745 8.817 Å, 96.21 96.21 120.04°
Fractional positions:
Ta  0.044  0.711  0.634
Ta  0.289  0.956  0.366
Ta  0.377  0.377  0.630
Ta  0.623  0.623  0.370
Ta  0.711  0.044  0.634
Ta  0.956  0.289  0.366
Cr  0.500  0.500  0.000
C  0.000  0.000  0.500
C  0.331  0.669  0.500
C  0.669  0.331  0.500
S  0.108  0.442  0.826
S  0.223  0.223  0.172
S  0.442  0.108  0.826
S  0.558  0.892  0.174
S  0.777  0.777  0.828
S  0.892  0.558  0.174

## Properties
The calculation puts the formation energy from raw total energies at -0.88 eV/atom. The calculation puts the uncorrected energy at -147.24 eV/cell. The space group is C2/m, No. 12.

---

Values for size of the total moment, μB per formula unit, ordered as above
2.10; 0.00; 0.45; 1.56; 0.00; 0.00; 0.00; 0.00; 4.32; 0.06; 0.00; 3.47